VASP calculation (GGA-PBE) on a geometry-optimized Mn2HgSb structure.

Results
electronic total energy: -5.32 eV per atom
DOS(E_F): 1.264 states/eV per atom
raw formation energy: 0.368 eV per atom

Unit cell a=4.7074 b=4.7074 c=4.7074 alpha=60.00 beta=60.00 gamma=60.00
Site moments in Bohr magnetons follow the coordinates.
Sites, in units of the cell vectors:
Sb: 0.0000 0.0000 0.0000  -0.10
Mn: 0.2500 0.2500 0.2500  3.39
Mn: 0.7500 0.7500 0.7500  3.39
Hg: 0.5000 0.5000 0.5000  -0.05

VASP calculation (GGA-PBE) on a geometry-optimized Hf2Be2Co5Sn structure.

Results
electronic total energy: -7.11 eV per atom
DOS(E_F): 0.457 states/eV per atom

Unit cell a=3.2278 b=8.8312 c=8.8312 alpha=90.00 beta=90.00 gamma=90.00
Sites, in units of the cell vectors:
Hf: 0.0000 0.6774 0.1774
Hf: 0.0000 0.3226 0.8226
Hf: 0.0000 0.1774 0.3226
Hf: 0.0000 0.8226 0.6774
Be: 0.0000 0.1155 0.6155
Be: 0.0000 0.8845 0.3845
Be: 0.0000 0.6155 0.8845
Be: 0.0000 0.3845 0.1155
Co: 0.5000 0.2225 0.0688
Co: 0.5000 0.7775 0.9312
Co: 0.5000 0.0688 0.7775
Co: 0.5000 0.7225 0.4312
Co: 0.5000 0.9312 0.2225
Co: 0.5000 0.2775 0.5688
Co: 0.5000 0.5688 0.7225
Co: 0.5000 0.4312 0.2775
Co: 0.5000 0.5000 0.0000
Co: 0.5000 0.0000 0.5000
Sn: 0.0000 0.0000 0.0000
Sn: 0.0000 0.5000 0.5000

VASP calculation (GGA-PBE) on a geometry-optimized CaPr2Se structure.

Results
electronic total energy: -4.42 eV per atom
DOS(E_F): 1.263 states/eV per atom
raw formation energy: -0.662 eV per atom

Unit cell a=3.9800 b=3.9800 c=11.0304 alpha=79.61 beta=79.61 gamma=60.00
Sites, in units of the cell vectors:
Pr: 0.1108 0.1108 0.6675
Pr: 0.8892 0.8892 0.3325
Ca: 0.0000 0.0000 0.0000
Se: 0.5000 0.5000 0.5000

VASP calculation (GGA-PBE) on a geometry-optimized HgSbPdPt structure.

Results
electronic total energy: -4.05 eV per atom
DOS(E_F): 0.288 states/eV per atom
raw formation energy: -0.135 eV per atom

Unit cell a=4.7412 b=4.7412 c=4.7412 alpha=60.00 beta=60.00 gamma=60.00
Sites, in units of the cell vectors:
Sb: 0.2500 0.2500 0.2500
Pd: 0.0000 0.0000 0.0000
Hg: 0.7500 0.7500 0.7500
Pt: 0.5000 0.5000 0.5000

VASP calculation (GGA-PBE) on a geometry-optimized BaMnIr structure.

Results
electronic total energy: -6.58 eV per atom
DOS(E_F): 1.029 states/eV per atom

Unit cell a=6.3875 b=4.1398 c=6.5296 alpha=108.49 beta=105.52 gamma=71.08
Site moments in Bohr magnetons follow the coordinates.
Sites, in units of the cell vectors:
Mn: 0.2805 0.8927 0.8569  3.48
Mn: 0.8668 0.0103 0.6784  -2.65
Ba: 0.8730 0.7188 0.1017  0.03
Ba: 0.4546 0.5721 0.3902  0.00
Ir: 0.5124 0.2501 0.8037  0.14
Ir: 0.0669 0.3913 0.6406  0.14

VASP calculation (GGA-PBE) on a geometry-optimized Li4SeS structure.

Results
electronic total energy: -3.84 eV per atom
DOS(E_F): 0.000 states/eV per atom
raw formation energy: -1.293 eV per atom

Unit cell a=5.8734 b=5.8734 c=7.1874 alpha=114.12 beta=114.12 gamma=90.00
Sites, in units of the cell vectors:
Li: 0.1354 0.1250 0.7500
Li: 0.8750 0.8646 0.2500
Li: 0.1354 0.6250 0.7500
Li: 0.3750 0.3854 0.2500
Li: 0.6146 0.1250 0.7500
Li: 0.6146 0.6250 0.7500
Li: 0.3750 0.8646 0.2500
Li: 0.8750 0.3854 0.2500
Se: 0.0000 0.0000 0.0000
Se: 0.7500 0.2500 0.5000
S: 0.2500 0.7500 0.5000
S: 0.5000 0.5000 0.0000

VASP calculation (GGA-PBE) on a geometry-optimized KAgHg3 structure.

Results
electronic total energy: -1.09 eV per atom
DOS(E_F): 0.278 states/eV per atom

Unit cell a=6.8141 b=6.8127 c=7.0012 alpha=90.00 beta=90.00 gamma=64.81
Sites, in units of the cell vectors:
K: 0.0158 0.2183 0.0524
K: 0.5448 0.7474 0.5524
Ag: 0.8637 0.0664 0.5524
Ag: 0.6969 0.8993 0.0524
Hg: 0.1065 0.3094 0.5524
Hg: 0.4541 0.6563 0.0524
Hg: 0.4967 0.2662 0.8024
Hg: 0.4967 0.2662 0.3024
Hg: 0.0638 0.6995 0.3024
Hg: 0.0638 0.6995 0.8024

VASP calculation (GGA-PBE) on a geometry-optimized MnNiSbRu structure.

Results
electronic total energy: -7.12 eV per atom
DOS(E_F): 1.135 states/eV per atom
raw formation energy: -0.035 eV per atom

Unit cell a=4.3692 b=4.3692 c=4.3692 alpha=60.00 beta=60.00 gamma=60.00
Site moments in Bohr magnetons follow the coordinates.
Sites, in units of the cell vectors:
Sb: 0.7500 0.7500 0.7500  0.01
Mn: 0.2500 0.2500 0.2500  3.53
Ni: 0.5000 0.5000 0.5000  0.27
Ru: 0.0000 0.0000 0.0000  0.10

VASP calculation (GGA-PBE) on a geometry-optimized Cs2Ga2Cu structure.

Results
electronic total energy: -2.09 eV per atom
DOS(E_F): 0.340 states/eV per atom

Unit cell a=7.1731 b=7.1731 c=6.2383 alpha=90.00 beta=90.00 gamma=90.00
Sites, in units of the cell vectors:
Cs: 0.1903 0.6903 0.5000
Cs: 0.6903 0.8097 0.5000
Cs: 0.8097 0.3097 0.5000
Cs: 0.3097 0.1903 0.5000
Cu: 0.0000 0.0000 0.0000
Cu: 0.5000 0.5000 0.0000
Ga: 0.3703 0.8703 0.0000
Ga: 0.8703 0.6297 0.0000
Ga: 0.6297 0.1297 0.0000
Ga: 0.1297 0.3703 0.0000

VASP calculation (GGA-PBE) on a geometry-optimized TiSi3Ag structure.

Results
electronic total energy: -4.17 eV per atom
DOS(E_F): 1.104 states/eV per atom
raw formation energy: 1.235 eV per atom

Unit cell a=4.7630 b=4.7630 c=4.7630 alpha=90.00 beta=90.00 gamma=90.00
Sites, in units of the cell vectors:
Si: 0.0000 0.5000 0.0000
Si: 0.0000 0.0000 0.5000
Si: 0.5000 0.0000 0.0000
Ag: 0.0000 0.0000 0.0000
Ti: 0.5000 0.5000 0.5000

VASP calculation (GGA-PBE) on a geometry-optimized Tb6SmTl5 structure.

Results
electronic total energy: -3.98 eV per atom
DOS(E_F): 1.026 states/eV per atom

Unit cell a=5.0432 b=8.8282 c=9.1895 alpha=118.71 beta=105.93 gamma=90.00
Sites, in units of the cell vectors:
Tl: 0.6489 0.1489 0.2978
Tl: 0.3202 0.3202 0.6405
Tl: 0.0000 0.5000 0.0000
Tl: 0.6798 0.6798 0.3595
Tl: 0.3511 0.8511 0.7022
Tb: 0.8296 0.5651 0.6591
Tb: 0.8296 0.0940 0.6591
Tb: 0.5000 0.7258 0.0000
Tb: 0.5000 0.2742 0.0000
Tb: 0.1704 0.9060 0.3409
Tb: 0.1704 0.4349 0.3409
Sm: 0.0000 0.0000 0.0000

VASP calculation (GGA-PBE) on a geometry-optimized Pa2MnCrN4 structure.

Results
electronic total energy: -9.79 eV per atom
DOS(E_F): 0.563 states/eV per atom
raw formation energy: -0.903 eV per atom

Unit cell a=3.3820 b=4.9854 c=5.9160 alpha=66.95 beta=90.00 gamma=90.00
Site moments in Bohr magnetons follow the coordinates.
Sites, in units of the cell vectors:
Pa: 0.0000 0.0000 0.0000  -0.20
Pa: 0.5000 0.0000 0.5000  -0.20
Mn: 0.5000 0.5000 0.0000  0.39
Cr: 0.0000 0.5000 0.5000  1.06
N: 0.0000 0.7082 0.7665  -0.01
N: 0.0000 0.2918 0.2335  -0.01
N: 0.5000 0.7107 0.2615  -0.01
N: 0.5000 0.2893 0.7385  -0.01